9
Lattice="4.5484 0.0000 0.0000 0.0000 6.3287 3.6504 0.0000 -6.3287 3.6504" Properties=species:S:1:pos:R:3 comment="DyHo2Al2Cd3In (PBE, optimized geometry)" total_energy_ev_per_atom=-3.357 pbc="T T T"
Dy 0.0000 0.0000 0.0000
Ho 0.0000 -2.7645 2.5169
Ho 0.0000 2.7645 2.5169
Al 2.2742 -4.2163 4.1117
Al 2.2742 4.2163 4.1117
Cd 2.2742 0.0000 2.2463
Cd 2.2742 -1.6183 5.0449
Cd 2.2742 1.6183 5.0449
In 0.0000 0.0000 4.1093

***

4
Lattice="0.0000 3.2238 3.2238 3.2238 0.0000 3.2238 3.2238 3.2238 0.0000" Properties=species:S:1:pos:R:3 comment="LuCuAsIr (PBE, optimized geometry)" total_energy_ev_per_atom=-5.793 pbc="T T T"
Lu 0.0000 0.0000 0.0000
Cu 4.8357 4.8357 4.8357
As 3.2238 3.2238 3.2238
Ir 1.6119 1.6119 1.6119

***

3
Lattice="0.0000 3.0751 3.0751 3.0751 0.0000 3.0751 3.0751 3.0751 0.0000" Properties=species:S:1:pos:R:3 comment="GaWAu (PBE, optimized geometry)" total_energy_ev_per_atom=-5.587 pbc="T T T"
Ga 0.0000 0.0000 0.0000
W 3.0751 3.0751 3.0751
Au 1.5376 1.5376 1.5376